Density functional theory data (GGA+U) for a geometry-optimized V2PbO structure.

Output
Its distance to the lowest polymorph of the same formula is 0.000 eV per atom. Its symmetry is No. 122. The magnetic moment is 12.09 Bohr magnetons per cell.

Unit cell a=6.5822 b=6.5822 c=5.8156 alpha=55.53 beta=55.53 gamma=90.00
With the nearest neighbours (Å) after each atom.
Sites, in units of the cell vectors:
V: 0.4949 0.1250 0.2500  2 O 2.02
V: 0.8750 0.7449 0.7500  2 O 2.02
V: 0.2551 0.6250 0.2500  2 O 2.02
V: 0.3750 0.5051 0.7500  2 O 2.02
Pb: 0.0000 0.0000 0.0000  8 V 3.12-3.19, 2 O 3.49
Pb: 0.7500 0.2500 0.5000  8 V 3.12-3.19, 2 O 3.49
O: 0.2500 0.7500 0.5000  4 V 2.02
O: 0.5000 0.5000 0.0000  4 V 2.02